A relaxed structure of Nd2Be3CoNi12, computed with PBE.

abc: 7.0544 7.0544 7.0544
angles: 62.23 62.23 62.23
Element x y z (fractional)
Nd1 0.6104 0.6104 0.6104
Nd2 0.3896 0.3896 0.3896
Be1 0.5000 0.0000 0.0000
Be2 0.0000 0.5000 0.0000
Be3 0.0000 0.0000 0.5000
Co1 0.0000 0.0000 0.0000
Ni1 0.3444 0.3444 0.9084
Ni2 0.8782 0.8782 0.3796
Ni3 0.3796 0.8782 0.8782
Ni4 0.9084 0.3444 0.3444
Ni5 0.8782 0.3796 0.8782
Ni6 0.3444 0.9084 0.3444
Ni7 0.6556 0.6556 0.0916
Ni8 0.1218 0.1218 0.6204
Ni9 0.6204 0.1218 0.1218
Ni10 0.0916 0.6556 0.6556
Ni11 0.1218 0.6204 0.1218
Ni12 0.6556 0.0916 0.6556

Computed properties:
DFT total energy ... -5.111 eV per atom
Density of states at the Fermi level ... 14.15 states/eV per cell
Energy relative to the elements ... 0.29 eV per atom
Space group ... No. 166

---

A relaxed structure of TiSiHgB2, computed with PBE.

abc: 4.0244 4.8618 4.0244
angles: 90.00 90.00 90.00
Element x y z (fractional)
Si1 0.0000 0.0000 0.0000
B1 0.0000 0.0000 0.5000
B2 0.5000 0.0000 0.0000
Hg1 0.5000 0.5000 0.5000
Ti1 0.0000 0.5000 0.0000

Computed properties:
DFT total energy ... -4.347 eV per atom
Density of states at the Fermi level ... 3.49 states/eV per cell
Uncorrected formation energy ... 1.05 eV per atom
Space group ... No. 123

---

A relaxed structure of Pa2CdO6, computed with PBE.

abc: 4.5908 5.9812 5.9812
angles: 120.00 90.00 90.00
Element x y z (fractional)
Pa1 0.5000 0.6667 0.3333
Pa2 0.5000 0.3333 0.6667
Cd1 0.0000 0.0000 0.0000
O1 0.7253 0.6456 0.6456
O2 0.2747 0.6456 0.0000
O3 0.2747 0.0000 0.6456
O4 0.7253 0.3544 0.0000
O5 0.2747 0.3544 0.3544
O6 0.7253 0.0000 0.3544

Computed properties:
DFT total energy ... -8.440 eV per atom
Density of states at the Fermi level ... 0.00 states/eV per cell
Uncorrected formation energy ... -2.92 eV per atom
Space group ... No. 162

---

A relaxed structure of Ce2Ni3Sn5, computed with PBE.

abc: 4.4609 7.1669 13.3760
angles: 90.00 99.60 90.00
Element x y z (fractional)
Ce1 0.4750 0.7523 0.9500
Ce2 0.1709 0.7422 0.3418
Ce3 0.8291 0.2422 0.6582
Ce4 0.5250 0.2523 0.0500
Ni1 0.7789 0.7244 0.5578
Ni2 0.6044 0.5040 0.2089
Ni3 0.0492 0.9710 0.0983
Ni4 0.2211 0.2244 0.4422
Ni5 0.9508 0.4710 0.9017
Ni6 0.3956 0.0040 0.7911
Sn1 0.4063 0.3799 0.8125
Sn2 0.2864 0.5191 0.5729
Sn3 0.7136 0.0191 0.4271
Sn4 0.1214 0.2454 0.2427
Sn5 0.2965 0.9416 0.5930
Sn6 0.9508 0.0849 0.9017
Sn7 0.7035 0.4416 0.4070
Sn8 0.8786 0.7454 0.7573
Sn9 0.0492 0.5849 0.0983
Sn10 0.5937 0.8799 0.1875

Computed properties:
DFT total energy ... -5.381 eV per atom
Density of states at the Fermi level ... 27.79 states/eV per cell
Energy relative to the elements ... -0.46 eV per atom
Space group ... No. 36

---

A relaxed structure of Ca4As2Br5, computed with PBE.

abc: 4.0763 8.2930 11.7218
angles: 87.30 100.01 90.00
Element x y z (fractional)
Ca1 0.6721 0.5789 0.3442
Ca2 0.0186 0.7305 0.0371
Ca3 0.3279 0.4211 0.6558
Ca4 0.9814 0.2695 0.9629
As1 0.5501 0.4506 0.1003
As2 0.4499 0.5494 0.8997
Br1 0.1403 0.8133 0.2806
Br2 0.8597 0.1867 0.7194
Br3 0.2050 0.3423 0.4101
Br4 0.5000 0.0000 0.0000
Br5 0.7950 0.6577 0.5899

Computed properties:
DFT total energy ... -3.951 eV per atom
Density of states at the Fermi level ... 6.65 states/eV per cell
Uncorrected formation energy ... -1.62 eV per atom
Space group ... No. 12

---

A relaxed structure of Cd2SbO, computed with PBE.

abc: 7.1851 6.2686 8.1606
angles: 90.00 90.00 90.00
Element x y z (fractional)
Cd1 0.2160 0.4606 0.9608
Cd2 0.7160 0.5394 0.0392
Cd3 0.7160 0.0394 0.4608
Cd4 0.2160 0.9606 0.5392
Cd5 0.5688 0.0566 0.8764
Cd6 0.0688 0.9434 0.1236
Cd7 0.0688 0.4434 0.3764
Cd8 0.5688 0.5566 0.6236
Sb1 0.9672 0.1002 0.8030
Sb2 0.4672 0.8998 0.1970
Sb3 0.4672 0.3998 0.3030
Sb4 0.9672 0.6002 0.6970
O1 0.9977 0.0875 0.3669
O2 0.4977 0.9125 0.6331
O3 0.4977 0.4125 0.8669
O4 0.9977 0.5875 0.1331

Computed properties:
DFT total energy ... -3.160 eV per atom
Polymorph energy (0 for the lowest one) ... 0.000 eV per atom
Density of states at the Fermi level ... 5.61 states/eV per cell
Uncorrected formation energy ... -0.43 eV per atom
Space group ... No. 33

---

A relaxed structure of Li2GaPd, computed with PBE.

abc: 3.6475 3.6475 9.8479
angles: 79.33 79.33 90.00
Element x y z (fractional)
Ga1 0.5000 0.5000 0.0000
Ga2 0.2500 0.7500 0.5000
Pd1 0.0000 0.0000 0.0000
Pd2 0.7500 0.2500 0.5000
Li1 0.6330 0.1250 0.2500
Li2 0.1170 0.6250 0.2500
Li3 0.3750 0.3670 0.7500
Li4 0.8750 0.8830 0.7500

Computed properties:
DFT total energy ... -3.302 eV per atom
Density of states at the Fermi level ... 2.37 states/eV per cell
Energy relative to the elements ... -0.29 eV per atom
Space group ... No. 122

---

A relaxed structure of BaCuIr2, computed with PBE.

abc: 4.6588 4.0868 4.0868
angles: 90.00 90.00 90.00
Element x y z (fractional)
Ba1 0.5000 0.5000 0.0000
Cu1 0.5000 0.0000 0.5000
Ir1 0.0000 0.0000 0.0000
Ir2 0.0000 0.5000 0.5000

Computed properties:
DFT total energy ... -5.202 eV per atom
Polymorph energy (0 for the lowest one) ... 0.874 eV per atom
Density of states at the Fermi level ... 5.34 states/eV per cell
Energy relative to the elements ... 0.73 eV per atom
Space group ... No. 123

---

A relaxed structure of LiHfThN3, computed with PBE.

abc: 3.3195 7.0766 6.8495
angles: 104.77 90.00 90.00
Element x y z (fractional)
Li1 0.2500 0.0812 0.5908
Li2 0.7500 0.9188 0.4092
Hf1 0.2500 0.6687 0.1728
Hf2 0.7500 0.3313 0.8272
Th1 0.7500 0.7952 0.7614
Th2 0.2500 0.2048 0.2386
N1 0.2500 0.7960 0.4978
N2 0.7500 0.8630 0.1254
N3 0.7500 0.4426 0.1654
N4 0.7500 0.2040 0.5022
N5 0.2500 0.5574 0.8346
N6 0.2500 0.1370 0.8746

Computed properties:
DFT total energy ... -8.720 eV per atom
Uncorrected formation energy ... -1.34 eV per atom
Space group ... No. 11

---

A relaxed structure of FeH4, computed with PBE.

abc: 3.1308 3.1308 3.1308
angles: 90.00 90.00 90.00
Element x y z (fractional)
H1 0.0000 0.0000 0.0000
H2 0.5000 0.0000 0.5000
H3 0.0000 0.5000 0.5000
H4 0.5000 0.5000 0.0000
Fe1 0.5000 0.5000 0.5000

Computed properties:
DFT total energy ... -3.600 eV per atom
Polymorph energy (0 for the lowest one) ... 0.449 eV per atom
Density of states at the Fermi level ... 2.93 states/eV per cell
Space group ... No. 221

---

A relaxed structure of Mn2CrNiSb2, computed with PBE.

abc: 7.3585 7.3585 7.3585
angles: 33.90 33.90 33.90
Element x y z (fractional)
Mn1 0.9997 0.9997 0.9997
Mn2 0.5041 0.5041 0.5041
Cr1 0.2510 0.2510 0.2510
Ni1 0.7455 0.7455 0.7455
Sb1 0.8715 0.8715 0.8715
Sb2 0.3781 0.3781 0.3781

Computed properties:
DFT total energy ... -6.652 eV per atom
Density of states at the Fermi level ... 4.45 states/eV per cell
Uncorrected formation energy ... 0.35 eV per atom
Space group ... No. 160

---

A relaxed structure of Tb5Sn2RuRh2, computed with PBE.

abc: 3.5397 11.6134 11.6134
angles: 90.00 90.00 90.00
Element x y z (fractional)
Tb1 0.5000 0.1948 0.0645
Tb2 0.5000 0.8052 0.9355
Tb3 0.5000 0.0645 0.8052
Tb4 0.5000 0.6948 0.4355
Tb5 0.5000 0.9355 0.1948
Tb6 0.5000 0.3052 0.5645
Tb7 0.5000 0.5645 0.6948
Tb8 0.5000 0.4355 0.3052
Tb9 0.5000 0.5000 0.0000
Tb10 0.5000 0.0000 0.5000
Sn1 0.0000 0.6788 0.1788
Sn2 0.0000 0.3212 0.8212
Sn3 0.0000 0.1788 0.3212
Sn4 0.0000 0.8212 0.6788
Ru1 0.0000 0.0000 0.0000
Ru2 0.0000 0.5000 0.5000
Rh1 0.0000 0.1367 0.6367
Rh2 0.0000 0.8633 0.3633
Rh3 0.0000 0.6367 0.8633
Rh4 0.0000 0.3633 0.1367

Computed properties:
DFT total energy ... -6.121 eV per atom
Density of states at the Fermi level ... 7.77 states/eV per cell
Energy relative to the elements ... -0.61 eV per atom
Space group ... No. 127